SbMoP2 after structural relaxation, computed with PBE-GGA.

Results
ΔE_f (raw), eV/f.u.: 0.9
VASP energy, eV per atom: -6.210
Density, Mg/m³: 6.75
Space-group type: R3m, No. 160
Total magnetization, μB per atom: 0.0001

Lattice parameters (Å, degrees): 7.3503 7.3503 7.3503 26.32 26.32 26.32
Fractional coordinates of all 4 atoms:
Sb  0.0000  0.0000  0.0000
Mo  0.2393  0.2393  0.2393
P  0.4943  0.4943  0.4943
P  0.7617  0.7617  0.7617

ScTaMo after structural relaxation, computed with PBE-GGA.

Results
VASP energy, eV per atom: -9.101
Energy relative to the elements, eV/atom: 0.57
Offset from the most stable computed form, meV per atom: 539
Density, Mg/m³: 8.45
Space-group type: F-43m, No. 216
Total magnetization, μB per atom: 0.0000

Lattice parameters (Å, degrees): 4.4727 4.4727 4.4727 60.00 60.00 60.00
Fractional coordinates of all 3 atoms:
Sc  0.0000  0.0000  0.0000
Ta  0.5000  0.5000  0.5000
Mo  0.7500  0.7500  0.7500

Mg3AlAs after structural relaxation, computed with PBE-GGA.

Results
VASP energy, eV per atom: -2.493
Energy relative to the elements, eV/atom: 0.14
Offset from the most stable computed form, meV per atom: 0
Density, Mg/m³: 2.28
Space-group type: Pm-3m, No. 221
Total magnetization, μB per atom: 0.0000

Lattice parameters (Å, degrees): 5.0277 5.0277 5.0277 90.00 90.00 90.00
Fractional coordinates of all 5 atoms:
Mg  0.0000  0.0000  0.5000
Mg  0.0000  0.5000  0.0000
Mg  0.5000  0.0000  0.0000
Al  0.5000  0.5000  0.5000
As  0.0000  0.0000  0.0000

Sr4Zn after structural relaxation, computed with PBE-GGA.

Results
VASP energy, eV per atom: -1.489
Energy relative to the elements, eV/atom: 0.11
Offset from the most stable computed form, meV per atom: 184
Density, Mg/m³: 2.92
Space-group type: Im-3m, No. 229
Total magnetization, μB per atom: 0.0000

Lattice parameters (Å, degrees): 6.7508 6.7508 6.7508 109.47 109.47 109.47
Fractional coordinates of all 5 atoms:
Sr  0.0000  0.0000  0.5000
Sr  0.0000  0.5000  0.0000
Sr  0.5000  0.0000  0.0000
Sr  0.5000  0.5000  0.5000
Zn  0.0000  0.0000  0.0000

BaZnSe2 after structural relaxation, computed with PBE-GGA.

Results
ΔE_f (raw), eV/f.u.: -5.0
VASP energy, eV per atom: -3.783
Density, Mg/m³: 4.50
Space-group type: Cm, No. 8
Total magnetization, μB per atom: 0.0000

Lattice parameters (Å, degrees): 6.9599 6.9599 4.8584 96.37 96.37 34.74
Fractional coordinates of all 4 atoms:
Ba  0.0000  0.0000  0.0000
Zn  0.2782  0.2782  0.2603
Se  0.4461  0.4461  0.4848
Se  0.7050  0.7050  0.0541

PmYCuGe after structural relaxation, computed with PBE-GGA.

Results
VASP energy, eV per atom: -5.473
Energy relative to the elements, eV/atom: -0.49
Density, Mg/m³: 6.76
Space-group type: F-43m, No. 216
Total magnetization, μB per atom: 0.0000

Lattice parameters (Å, degrees): 5.0481 5.0481 5.0481 60.00 60.00 60.00
Fractional coordinates of all 4 atoms:
Pm  0.0000  0.0000  0.0000
Y  0.5000  0.5000  0.5000
Cu  0.2500  0.2500  0.2500
Ge  0.7500  0.7500  0.7500

CaTm4Pd4 after structural relaxation, computed with PBE-GGA.

Results
VASP energy, eV per atom: -5.216
Energy relative to the elements, eV/atom: -0.70
Density, Mg/m³: 8.15
Space-group type: P4_2/n, No. 86
Total magnetization, μB per atom: 0.0000

Lattice parameters (Å, degrees): 9.1108 9.1108 5.6069 90.00 90.00 90.00
Fractional coordinates of all 18 atoms:
Ca  0.2500  0.2500  0.2500
Ca  0.7500  0.7500  0.7500
Tm  0.0843  0.6509  0.1625
Tm  0.1509  0.9157  0.6625
Tm  0.3491  0.5843  0.6625
Tm  0.4157  0.8491  0.1625
Tm  0.5843  0.1509  0.8375
Tm  0.6509  0.4157  0.3375
Tm  0.8491  0.0843  0.3375
Tm  0.9157  0.3491  0.8375
Pd  0.0439  0.6175  0.6632
Pd  0.1175  0.9561  0.1632
Pd  0.3825  0.5439  0.1632
Pd  0.4561  0.8825  0.6632
Pd  0.5439  0.1175  0.3368
Pd  0.6175  0.4561  0.8368
Pd  0.8825  0.0439  0.8368
Pd  0.9561  0.3825  0.3368

SrOs after structural relaxation, computed with PBE-GGA.

Results
VASP energy, eV per atom: -5.881
Energy relative to the elements, eV/atom: 0.57
Density, Mg/m³: 8.09
Space-group type: Imm2, No. 44
Total magnetization, μB per atom: 0.0000

Lattice parameters (Å, degrees): 7.7156 7.7156 7.7156 149.85 58.04 131.65
Fractional coordinates of all 6 atoms:
Sr  0.0000  0.0000  0.0000
Sr  0.4367  0.7128  0.7238
Sr  0.9890  0.7128  0.2762
Os  0.5232  0.5232  0.0000
Os  0.5408  0.1368  0.4040
Os  0.7328  0.1368  0.5960

Pm4Sm3ThSe8 after structural relaxation, computed with PBE-GGA.

Results
ΔE_f (raw), eV/f.u.: -28.5
VASP energy, eV per atom: -6.062
Density, Mg/m³: 7.56
Space-group type: R-3m, No. 166
Total magnetization, μB per atom: 0.0000

Lattice parameters (Å, degrees): 8.3775 8.3775 8.3775 60.03 60.03 60.03
Fractional coordinates of all 16 atoms:
Pm  0.0000  0.0000  0.0000
Pm  0.0000  0.5000  0.5000
Pm  0.5000  0.0000  0.5000
Pm  0.5000  0.5000  0.0000
Sm  0.0000  0.0000  0.5000
Sm  0.0000  0.5000  0.0000
Sm  0.5000  0.0000  0.0000
Th  0.5000  0.5000  0.5000
Se  0.2484  0.7502  0.7502
Se  0.2492  0.2492  0.2492
Se  0.2498  0.2498  0.7516
Se  0.2498  0.7516  0.2498
Se  0.7502  0.2484  0.7502
Se  0.7502  0.7502  0.2484
Se  0.7508  0.7508  0.7508
Se  0.7516  0.2498  0.2498

Te2Cl after structural relaxation, computed with PBE-GGA.

Results
ΔE_f (raw), eV/f.u.: -0.3
VASP energy, eV per atom: -2.819
Offset from the most stable computed form, meV per atom: 137
Density, Mg/m³: 5.16
Space-group type: P-3m1, No. 164
Total magnetization, μB per atom: 0.0000

Lattice parameters (Å, degrees): 4.6095 4.6095 5.0838 90.00 90.00 120.00
Fractional coordinates of all 3 atoms:
Te  0.3333  0.6667  0.3696
Te  0.6667  0.3333  0.6304
Cl  0.0000  0.0000  0.0000

U2Co2Ni15 after structural relaxation, computed with PBE-GGA.

Results
VASP energy, eV per atom: -6.623
Energy relative to the elements, eV/atom: -0.12
Density, Mg/m³: 10.43
Space-group type: R-3m, No. 166
Total magnetization, μB per atom: 0.2752

Lattice parameters (Å, degrees): 6.2170 6.2170 6.2170 82.58 82.58 82.58
Fractional coordinates of all 19 atoms:
U  0.1681  0.1681  0.1681
U  0.8319  0.8319  0.8319
Co  0.4023  0.4023  0.4023
Co  0.5977  0.5977  0.5977
Ni  0.0000  0.5000  0.5000
Ni  0.1519  0.1519  0.6568
Ni  0.1519  0.6568  0.1519
Ni  0.1978  0.5000  0.8022
Ni  0.1978  0.8022  0.5000
Ni  0.3432  0.8481  0.8481
Ni  0.5000  0.0000  0.5000
Ni  0.5000  0.1978  0.8022
Ni  0.5000  0.5000  0.0000
Ni  0.5000  0.8022  0.1978
Ni  0.6568  0.1519  0.1519
Ni  0.8022  0.1978  0.5000
Ni  0.8022  0.5000  0.1978
Ni  0.8481  0.3432  0.8481
Ni  0.8481  0.8481  0.3432

HfHF3 after structural relaxation, computed with PBE-GGA.

Results
VASP energy, eV per atom: -6.143
Offset from the most stable computed form, meV per atom: 0
Density, Mg/m³: 5.79
Space-group type: Pm-3m, No. 221
Total magnetization, μB per atom: 0.0321

Lattice parameters (Å, degrees): 4.0783 4.0783 4.0783 90.00 90.00 90.00
Fractional coordinates of all 5 atoms:
Hf  0.0000  0.0000  0.0000
H  0.5000  0.5000  0.5000
F  0.0000  0.0000  0.5000
F  0.0000  0.5000  0.0000
F  0.5000  0.0000  0.0000

Repeat the third record exactly.
Mg3AlAs after structural relaxation, computed with PBE-GGA.

Results
VASP energy, eV per atom: -2.493
Energy relative to the elements, eV/atom: 0.14
Offset from the most stable computed form, meV per atom: 0
Density, Mg/m³: 2.28
Space-group type: Pm-3m, No. 221
Total magnetization, μB per atom: 0.0000

Lattice parameters (Å, degrees): 5.0277 5.0277 5.0277 90.00 90.00 90.00
Fractional coordinates of all 5 atoms:
Mg  0.0000  0.0000  0.5000
Mg  0.0000  0.5000  0.0000
Mg  0.5000  0.0000  0.0000
Al  0.5000  0.5000  0.5000
As  0.0000  0.0000  0.0000